Computed, not measured: crystalline Er6NiSe2S3 at its relaxed geometry at the GGA-PBE level of DFT.

Properties
ΔE_f (raw) = -1881 kJ/mol of formula units

Unit cell a=6.8754 b=6.8754 c=6.7899 alpha=99.83 beta=99.83 gamma=119.94
Closest atoms and distances in Å follow each position.
Sites, in units of the cell vectors:
Er  0.9195  0.6058  0.7527  1 Ni 2.67, 3 S 2.75-2.82, 2 Se 2.85-2.86
Er  0.7706  0.7706  0.2528  1 Ni 2.70, 3 S 2.82-2.90, 2 Se 2.84
Er  0.0805  0.3942  0.2473  1 Ni 2.67, 3 S 2.75-2.82, 2 Se 2.85-2.86
Er  0.6058  0.9195  0.7527  1 Ni 2.67, 3 S 2.75-2.82, 2 Se 2.85-2.86
Er  0.2294  0.2294  0.7472  1 Ni 2.70, 3 S 2.82-2.90, 2 Se 2.84
Er  0.3942  0.0805  0.2473  1 Ni 2.67, 3 S 2.75-2.82, 2 Se 2.85-2.86
Ni  0.0000  0.0000  0.0000  6 Er 2.67-2.70
Se  0.3350  0.6650  0.0000  6 Er 2.84-2.86
Se  0.6650  0.3350  0.0000  6 Er 2.84-2.86
S  0.1776  0.8224  0.5000  6 Er 2.75-2.82
S  0.8224  0.1776  0.5000  6 Er 2.75-2.82
S  0.5000  0.5000  0.5000  6 Er 2.75-2.90